Here is a relaxed structure of CuPb2Cl from Alexandria. Energies are from PBEsol.

Cell and atoms, written as extended XYZ:
```
4
Lattice="0.0000 3.5551 3.5551 3.5551 0.0000 3.5551 3.5551 3.5551 0.0000" Properties=species:S:1:pos:R:3 pbc="T T T"
Cu 0.0000 0.0000 0.0000
Pb 1.7776 1.7776 1.7776
Pb 5.3327 5.3327 5.3327
Cl 3.5551 3.5551 3.5551
```

Calculated values
DOS(E_F) = 2.89 states/eV per cell
Size of the total moment = 0.0 μB per cell
Space group = Fm-3m
Formation energy from raw total energies = 0.38 eV per formula unit
Mass density = 9.49 g/cm³

Here is a relaxed structure of Cu2PbCl from Alexandria. Energies are from PBEsol.

Cell and atoms, written as extended XYZ:
```
4
Lattice="4.6744 -1.5927 0.0000 4.6744 1.5927 0.0000 -4.5838 0.0000 5.6156" Properties=species:S:1:pos:R:3 pbc="T T T"
Cu -0.1826 0.0000 1.8680
Cu 4.9478 0.0000 3.7476
Pb 2.3826 0.0000 2.8078
Cl 4.6744 0.0000 0.0000
```

Calculated values
DOS(E_F) = 2.04 states/eV per cell
Size of the total moment = 0.0 μB per cell
Space group = C2/m
Formation energy from raw total energies = 0.46 eV per formula unit
Mass density = 7.34 g/cm³

Here is a relaxed structure of CuPb2Cl from Alexandria. Energies are from PBEsol.

Cell and atoms, written as extended XYZ:
```
4
Lattice="0.0000 3.5923 3.5923 3.5923 0.0000 3.5923 3.5923 3.5923 0.0000" Properties=species:S:1:pos:R:3 pbc="T T T"
Cu 0.0000 0.0000 0.0000
Pb 1.7962 1.7962 1.7962
Pb 3.5923 3.5923 3.5923
Cl 5.3885 5.3885 5.3885
```

Calculated values
DOS(E_F) = 3.30 states/eV per cell
Size of the total moment = 0.0 μB per cell
Space group = F-43m
Formation energy from raw total energies = 0.94 eV per formula unit
Mass density = 9.20 g/cm³

Here is a relaxed structure of CuPb2Cl from Alexandria. Energies are from PBEsol.

Cell and atoms, written as extended XYZ:
```
4
Lattice="3.2748 0.0000 0.0000 0.0000 3.2748 0.0000 0.0000 0.0000 8.5058" Properties=species:S:1:pos:R:3 pbc="T T T"
Cu 0.0000 0.0000 0.0000
Pb 0.0000 0.0000 4.5412
Pb 1.6374 1.6374 1.8847
Cl 1.6374 1.6374 7.2114
```

Calculated values
DOS(E_F) = 1.33 states/eV per cell
Size of the total moment = 0.0 μB per cell
Space group = P4mm
Formation energy from raw total energies = -0.08 eV per formula unit
Mass density = 9.35 g/cm³

Here is a relaxed structure of Cu2PbCl from Alexandria. Energies are from PBEsol.

Cell and atoms, written as extended XYZ:
```
4
Lattice="3.1703 0.0000 0.0000 0.0000 3.1703 0.0000 0.0000 0.0000 6.9963" Properties=species:S:1:pos:R:3 pbc="T T T"
Cu 0.0000 0.0000 1.5851
Cu 0.0000 0.0000 5.4111
Pb 1.5852 1.5852 3.4981
Cl 1.5852 1.5852 0.0000
```

Calculated values
DOS(E_F) = 1.67 states/eV per cell
Size of the total moment = 0.0 μB per cell
Space group = P4/mmm
Formation energy from raw total energies = 0.98 eV per formula unit
Mass density = 8.73 g/cm³

Here is a relaxed structure of Cu2PbCl from Alexandria. Energies are from PBEsol.

Cell and atoms, written as extended XYZ:
```
4
Lattice="7.3940 -1.6595 0.0000 7.3940 1.6595 0.0000 -0.5081 0.0000 3.2028" Properties=species:S:1:pos:R:3 pbc="T T T"
Cu 0.0000 0.0000 0.0000
Cu 8.1272 0.0000 1.7596
Pb 5.3730 0.0000 1.2679
Cl 2.1651 0.0000 2.3742
```

Calculated values
DOS(E_F) = 1.28 states/eV per cell
Size of the total moment = 0.0 μB per cell
Space group = Cm
Formation energy from raw total energies = -0.18 eV per formula unit
Mass density = 7.81 g/cm³

Here is a relaxed structure of CuPbS2Cl from Alexandria. Energies are from PBEsol.

Cell and atoms, written as extended XYZ:
```
5
Lattice="5.0862 0.0000 0.0000 0.0000 5.0862 0.0000 0.0000 0.0000 5.2428" Properties=species:S:1:pos:R:3 pbc="T T T"
Cu 0.0000 0.0000 0.0000
Pb 2.5431 2.5431 2.6214
S 0.0000 2.5431 2.6214
S 2.5431 0.0000 2.6214
Cl 2.5431 2.5431 0.0000
```

Calculated values
DOS(E_F) = 6.45 states/eV per cell
Size of the total moment = 0.0 μB per cell
Space group = P4/mmm
Formation energy from raw total energies = 3.24 eV per formula unit
Mass density = 4.53 g/cm³

Here is a relaxed structure of Sr2CuPdCl from Alexandria. Energies are from PBEsol.

Cell and atoms, written as extended XYZ:
```
5
Lattice="5.6929 0.0000 0.0000 0.0000 5.6929 0.0000 0.0000 0.0000 4.5171" Properties=species:S:1:pos:R:3 pbc="T T T"
Sr 0.0000 2.8464 0.0000
Sr 2.8464 0.0000 0.0000
Cu 0.0000 0.0000 0.0000
Pd 0.0000 0.0000 2.2585
Cl 2.8464 2.8464 2.2585
```

Calculated values
DOS(E_F) = 1.44 states/eV per cell
Size of the total moment = 0.0 μB per cell
Space group = P4/mmm
Formation energy from raw total energies = -2.37 eV per formula unit
Mass density = 4.32 g/cm³